Entry 1:
K3Pt2I9 | PBE-GGA | optimized geometry

As for the volume: 3695.44 Å³/cell. The calculation puts the raw formation energy at -0.643 eV per atom.

The space group is R-3c (No. 167, hexagonal axes) and the conventional cell measures 12.8526, 12.8526 and 25.8316 Å, with angles of 90.00, 90.00 and 120.00 degrees. The inequivalent atoms are K at (0.0000, 0.3352, 0.2500), Pt at (0.0000, 0.0000, 0.1813), I at (0.0000, 0.1669, 0.7500) and I at (0.0136, 0.1847, 0.1219).


Entry 2:
LiInSi2S6 | PBE-GGA | optimized geometry

As for the volume: 890.70 Å³/cell. The calculation puts the raw formation energy at -0.663 eV per atom.

The space group is C2/c (No. 15) and the conventional cell measures 12.4213, 11.8621 and 6.4272 Å, with angles of 90.00, 109.86 and 90.00 degrees. The inequivalent atoms are Li at (0.0000, 0.0936, 0.2500), In at (0.0000, 0.2343, 0.7500), Si at (0.2036, 0.4213, 0.2339), S at (0.1149, 0.0746, 0.6444), S at (0.1320, 0.4455, 0.4983) and S at (0.1361, 0.2574, 0.1286).